4
Lattice="4.870 0.000 0.000 0.000 4.870 0.000 0.000 0.000 2.931" Properties=species:S:1:pos:R:3 comment="ReSeCl2, relaxed, DFT PBE" de_polymorph_ev_per_fu=6.264 space_group="P4/mmm (123)" e_form_raw_ev_per_atom=1.373 pbc="T T T"
Re 0.000 0.000 0.000
Se 2.435 2.435 0.000
Cl 0.000 2.435 1.466
Cl 2.435 0.000 1.466



5
Lattice="4.582 0.000 0.000 0.000 4.582 0.000 0.000 0.000 7.604" Properties=species:S:1:pos:R:3 comment="SrIBrO2, relaxed, DFT PBE" de_polymorph_ev_per_fu=0.000 space_group="P4/mmm (123)" e_form_raw_ev_per_atom=-0.384 pbc="T T T"
Sr 0.000 0.000 0.000
I 0.000 0.000 3.802
Br 2.291 2.291 3.802
O 0.000 2.291 0.000
O 2.291 0.000 0.000



18
Lattice="16.604 0.000 0.000 0.000 3.458 0.000 0.000 0.000 9.439" Properties=species:S:1:pos:R:3 comment="NaNdPb, relaxed, DFT PBE" space_group="Pmma (51)" delta_e_f_ev_per_atom=-0.136 pbc="T T T"
Na 1.383 0.000 0.506
Na 4.151 0.000 5.733
Na 6.919 0.000 0.506
Na 9.684 0.000 8.934
Na 12.453 0.000 3.706
Na 15.221 0.000 8.934
Nd 1.519 0.000 3.839
Nd 4.151 1.729 8.670
Nd 6.783 0.000 3.839
Nd 9.821 0.000 5.600
Nd 12.453 1.729 0.770
Nd 15.085 0.000 5.600
Pb 1.230 1.729 6.923
Pb 4.151 1.729 2.532
Pb 7.072 1.729 6.923
Pb 9.532 1.729 2.517
Pb 12.453 1.729 6.908
Pb 15.373 1.729 2.517



4
Lattice="3.046 0.000 0.000 0.000 3.046 0.000 0.000 0.000 6.209" Properties=species:S:1:pos:R:3 comment="Li2CoAs, relaxed, DFT PBE" space_group="P4mm (99)" delta_e_f_ev_per_atom=-0.200 pbc="T T T"
Li 0.000 0.000 0.000
Li 1.523 1.523 1.939
Co 1.523 1.523 4.639
As 0.000 0.000 3.573



32
Lattice="11.853 0.000 0.000 0.000 11.853 0.000 0.000 0.000 5.987" Properties=species:S:1:pos:R:3 comment="Ce3Ge, relaxed, DFT PBE" de_polymorph_ev_per_fu=0.057 space_group="P4_2/n (86)" delta_e_f_ev_per_atom=-0.395 pbc="T T T"
Ce 0.320 7.074 1.130
Ce 1.148 11.533 4.123
Ce 1.372 2.281 3.027
Ce 1.411 7.885 4.658
Ce 1.958 10.442 1.665
Ce 2.281 4.555 5.953
Ce 3.646 1.372 5.953
Ce 3.968 7.338 1.665
Ce 4.515 9.895 4.658
Ce 4.555 3.646 3.027
Ce 4.779 6.247 4.123
Ce 5.606 10.706 1.130
Ce 6.247 1.148 4.857
Ce 7.074 5.606 1.864
Ce 7.299 8.207 2.960
Ce 7.338 1.958 1.329
Ce 7.885 4.515 4.323
Ce 8.207 10.481 0.034
Ce 9.572 7.299 0.034
Ce 9.895 1.411 4.323
Ce 10.442 3.968 1.329
Ce 10.481 9.572 2.960
Ce 10.706 0.320 1.864
Ce 11.533 4.779 4.857
Ge 0.604 2.027 0.029
Ge 2.027 5.322 2.964
Ge 3.899 0.604 2.964
Ge 5.322 3.899 0.029
Ge 6.531 7.954 5.958
Ge 7.954 11.249 3.023
Ge 9.826 6.531 3.023
Ge 11.249 9.826 5.958



4
Lattice="1.788 -2.652 0.000 1.788 2.652 0.000 0.000 0.000 11.133" Properties=species:S:1:pos:R:3 comment="TaSbTe2, relaxed, DFT PBE" space_group="Cmmm (65)" e_form_raw_ev_per_atom=0.270 pbc="T T T"
Ta 0.000 0.000 0.000
Sb 0.000 0.000 5.566
Te 1.788 0.000 2.203
Te 1.788 0.000 8.930



| no. | magnetic moment (μB/atom) | uncorrected energy (eV/atom) |
| --- | --- | --- |
| 1 | 0.000 | -3.53 |
| 2 | 0.429 | -3.35 |
| 3 | 0.047 | -3.40 |
| 4 | 0.055 | -4.10 |
| 5 | 0.430 | -6.00 |
| 6 | 0.000 | -5.30 |